A relaxed structure of BaNa4Pb. Source: Alexandria, functional PBE.

## Properties
For the excess energy over the best structure of this formula in the dataset, the calculation gives 0.000 eV per atom. As for the calculated formation energy: -84 meV/atom.

a = 9.4117 Å, b = 9.4117 Å, c = 9.4117 Å
α = 90.00°, β = 90.00°, γ = 90.00°
With the nearest neighbours (Å) after each atom.
Space group F-43m (No. 216)
Symmetry-distinct sites (fractional):
Ba (0.0000, 0.0000, 0.0000) x4  12 Na 3.90, 4 Pb 4.08
Na (0.1241, 0.1241, 0.6241) x16  6 Na 3.30-3.35
Pb (0.2500, 0.2500, 0.2500) x4  12 Na 3.90, 4 Ba 4.08

***

A relaxed structure of Sn3Hg12Sb5. Source: Alexandria, functional PBE.

## Properties
The value obtained for the uncorrected formation energy is 0.14 eV per atom.

a = 17.0992 Å, b = 17.0992 Å, c = 17.0992 Å
α = 90.00°, β = 90.00°, γ = 90.00°
With the nearest neighbours (Å) after each atom.
Space group Ia-3d (No. 230)
Symmetry-distinct sites (fractional):
Sn (0.0000, 0.2500, 0.1250) x24  4 Hg 2.92
Hg (0.0243, 0.0830, 0.6504) x96  2 Sb 2.81-2.97, 1 Sn 2.92
Sb (0.0000, 0.0000, 0.0000) x16  6 Hg 2.97
Sb (0.0000, 0.2500, 0.3750) x24  4 Hg 2.81

***

A relaxed structure of LuScGePt. Source: Alexandria, functional PBE.

## Properties
As for the calculated formation energy: -945 meV/atom.

a = 6.8153 Å, b = 6.8153 Å, c = 6.8153 Å
α = 90.00°, β = 90.00°, γ = 90.00°
With the nearest neighbours (Å) after each atom.
Space group F-43m (No. 216)
Symmetry-distinct sites (fractional):
Lu (0.0000, 0.0000, 0.0000) x4  4 Ge 2.95, 4 Pt 2.95
Sc (0.0000, 0.0000, 0.5000) x4  4 Ge 2.95, 4 Pt 2.95
Ge (0.2500, 0.2500, 0.2500) x4  4 Sc 2.95, 4 Lu 2.95
Pt (0.2500, 0.2500, 0.7500) x4  4 Sc 2.95, 4 Lu 2.95

***

A relaxed structure of BaScTa. Source: Alexandria, functional PBE.

## Properties
For the excess energy over the best structure of this formula in the dataset, the calculation gives 0.000 eV per atom. As for the calculated formation energy: 596 meV/atom.

a = 3.1870 Å, b = 3.1870 Å, c = 16.6015 Å
α = 90.00°, β = 90.00°, γ = 90.00°
With the nearest neighbours (Å) after each atom.
Space group I4mm (No. 107)
Symmetry-distinct sites (fractional):
Ba (0.0000, 0.0000, 0.0000) x2  4 Ba 3.19
Sc (0.0000, 0.0000, 0.2962) x2  4 Ta 2.98, 4 Sc 3.19
Ta (0.0000, 0.0000, 0.6787) x2  4 Sc 2.98, 4 Ta 3.19

***

A relaxed structure of TaB2Se6. Source: Alexandria, functional PBE.

## Properties
The value obtained for the uncorrected formation energy is -0.19 eV per atom.

a = 11.8577 Å, b = 10.7483 Å, c = 6.3199 Å
α = 90.00°, β = 100.62°, γ = 90.00°
With the nearest neighbours (Å) after each atom.
Space group C2/c (No. 15)
Symmetry-distinct sites (fractional):
Ta (0.0000, 0.1277, 0.2500) x4  6 Se 2.46-2.69
B (0.2047, 0.4362, 0.3378) x8  4 Se 2.06-2.12
Se (0.1159, 0.0636, 0.6173) x8  1 B 2.09
Se (0.1363, 0.4296, 0.6187) x8  2 B 2.06-2.08
Se (0.1552, 0.2649, 0.1829) x8  1 B 2.12

***

A relaxed structure of KMo2I. Source: Alexandria, functional PBE.

## Properties
The value obtained for the uncorrected formation energy is 1.87 eV per atom. For the excess energy over the best structure of this formula in the dataset, the calculation gives 0.638 eV per atom.

a = 6.9424 Å, b = 6.9424 Å, c = 6.9424 Å
α = 90.00°, β = 90.00°, γ = 90.00°
With the nearest neighbours (Å) after each atom.
Space group Fm-3m (No. 225)
Symmetry-distinct sites (fractional):
K (0.0000, 0.0000, 0.0000) x4  8 Mo 3.01
Mo (0.2500, 0.2500, 0.2500) x8  4 K 3.01, 4 I 3.01
I (0.0000, 0.0000, 0.5000) x4  8 Mo 3.01

***

A relaxed structure of Mg4HgOs. Source: Alexandria, functional PBE.

## Properties
As for the calculated formation energy: 493 meV/atom.

a = 7.6728 Å, b = 7.6728 Å, c = 7.6728 Å
α = 90.00°, β = 90.00°, γ = 90.00°
With the nearest neighbours (Å) after each atom.
Space group F-43m (No. 216)
Symmetry-distinct sites (fractional):
Mg (0.1243, 0.1243, 0.1243) x16  6 Mg 2.70-2.73
Hg (0.0000, 0.0000, 0.5000) x4  12 Mg 3.18, 4 Os 3.32
Os (0.2500, 0.2500, 0.7500) x4  12 Mg 3.18, 4 Hg 3.32

***

A relaxed structure of Ac2NdSm3Se6. Source: Alexandria, functional PBE.

## Properties
The value obtained for the uncorrected formation energy is -1.83 eV per atom.

a = 7.3631 Å, b = 12.8117 Å, c = 7.4767 Å
α = 90.00°, β = 109.29°, γ = 90.00°
With the nearest neighbours (Å) after each atom.
Space group C2/m (No. 12)
Symmetry-distinct sites (fractional):
Ac (0.0000, 0.1658, 0.0000) x4  6 Se 3.11
Nd (0.0000, 0.5000, 0.0000) x2  6 Se 3.05-3.06
Sm (0.0000, 0.0000, 0.5000) x2  6 Se 2.95-3.00
Sm (0.0000, 0.3311, 0.5000) x4  6 Se 2.95-2.99
Se (0.2368, 0.5000, 0.7327) x4  3 Sm 2.96-3.00, 1 Nd 3.06, 2 Ac 3.11
Se (0.2490, 0.1634, 0.7361) x8  3 Sm 2.95-2.99, 1 Nd 3.05, 2 Ac 3.11

***

Number 1: mass density 3.5 Mg/m³, total magnetization 0.000 μB per atom. Number 2: mass density 9.0 Mg/m³, total magnetization 0.000 μB per atom. Number 3: mass density 10.2 Mg/m³, total magnetization 0.000 μB per atom. Number 4: mass density 7.2 Mg/m³, total magnetization 0.000 μB per atom. Number 5: mass density 5.7 Mg/m³, total magnetization 0.000 μB per atom. Number 6: mass density 7.1 Mg/m³, total magnetization 0.979 μB per atom. Number 7: mass density 7.2 Mg/m³, total magnetization 0.000 μB per atom. Number 8: mass density 7.6 Mg/m³, total magnetization 0.000 μB per atom.